No. 1
# PBE BaUAg2S4, relaxed
data_BaUAg2S4
_symmetry_space_group_name_H-M 'C 1 m 1'
_symmetry_Int_Tables_number 8
_cell_length_a 14.8695
_cell_length_b 5.3906
_cell_length_c 5.5706
_cell_angle_alpha 90.00
_cell_angle_beta 104.64
_cell_angle_gamma 90.00
loop_
_symmetry_equiv_pos_as_xyz
'x,y,z'
'x,-y,z'
'x+1/2,y+1/2,z'
'x+1/2,-y+1/2,z'
loop_
_atom_site_label
_atom_site_type_symbol
_atom_site_fract_x
_atom_site_fract_y
_atom_site_fract_z
Ba1 Ba 0.0000 0.0000 0.0000
U1 U 0.2403 0.5000 0.3465
Ag1 Ag 0.2566 0.0000 0.7838
Ag2 Ag 0.4014 0.0000 0.3425
S1 S 0.0583 0.5000 0.2349
S2 S 0.2246 0.0000 0.2759
S3 S 0.2598 0.5000 0.8384
S4 S 0.4207 0.5000 0.4504
# - N(E_F): 8.56 states/eV/cell
# - M_tot: 3.9 Bohr magnetons per cell
# - Total DFT energy (no corrections): -5.4282 eV/atom
# - Formation energy (no corrections): -1000 meV per atom

---

No. 2
# PBE BaU3Ag4S12, relaxed
data_BaU3Ag4S12
_symmetry_space_group_name_H-M 'R 3 2'
_symmetry_Int_Tables_number 155
_symmetry_space_group_name_Hall 'R 3 2"'
_cell_length_a 14.1708
_cell_length_b 14.1708
_cell_length_c 9.6473
_cell_angle_alpha 90.00
_cell_angle_beta 90.00
_cell_angle_gamma 120.00
loop_
_atom_site_label
_atom_site_type_symbol
_atom_site_fract_x
_atom_site_fract_y
_atom_site_fract_z
Ba1 Ba 0.0000 0.0000 0.0000
U1 U 0.0000 0.5668 0.0000
Ag1 Ag 0.0000 0.0000 0.5000
Ag2 Ag 0.0000 0.4171 0.5000
S1 S 0.0000 0.6003 0.5000
S2 S 0.0000 0.8300 0.5000
S3 S 0.0675 0.2163 0.1904
# - M_tot: 0.0 Bohr magnetons per cell
# - Total DFT energy (no corrections): -5.6677 eV/atom
# - Formation energy (no corrections): -832 meV per atom

---

No. 3
# PBE Ba2UAgS6, relaxed
data_Ba2UAgS6
_symmetry_space_group_name_H-M 'C 1 2/m 1'
_symmetry_Int_Tables_number 12
_cell_length_a 12.7789
_cell_length_b 6.9103
_cell_length_c 7.2534
_cell_angle_alpha 90.00
_cell_angle_beta 124.16
_cell_angle_gamma 90.00
loop_
_symmetry_equiv_pos_as_xyz
'x,y,z'
'-x,-y,-z'
'-x,y,-z'
'x,-y,z'
'x+1/2,y+1/2,z'
'-x+1/2,-y+1/2,-z'
'-x+1/2,y+1/2,-z'
'x+1/2,-y+1/2,z'
loop_
_atom_site_label
_atom_site_type_symbol
_atom_site_fract_x
_atom_site_fract_y
_atom_site_fract_z
Ba1 Ba 0.2433 0.0000 0.2307
U1 U 0.0000 0.0000 0.5000
Ag1 Ag 0.0000 0.5000 0.0000
S1 S 0.0459 0.2536 0.7934
S2 S 0.2319 0.0000 0.6524
# - N(E_F): 12.88 states/eV/cell
# - M_tot: 0.0 Bohr magnetons per cell
# - Total DFT energy (no corrections): -5.5709 eV/atom
# - Formation energy (no corrections): -1296 meV per atom